# AcPrPt

A relaxed AcPrPt crystal (PBE, the Alexandria database).

```
AcPrPt
1.0
4.3209 0.0000 0.0000
-2.1604 3.7420 0.0000
0.0000 0.0000 6.7626
Ac Pr Pt
1 1 1
direct
0.0000 0.0000 0.0000
0.6667 0.3333 0.5187
0.3333 0.6667 0.7464
```

Output
Its formation energy from the elements is -726 meV per atom. The value obtained for the raw total energy is -5.70 eV/atom. The energy above the most stable polymorph in this dataset comes out at 21 meV per atom. The calculation puts the calculated density at 8.55 g/cm3. As for the magnetization: 0.0 μB/f.u.